Arrangement P

TbNiB4, relaxed, DFT PBE; DOS at the Fermi energy = 3.23 states/eV per cell; symmetry = Cmmm (65)
1.0
-2.9816 -0.8364 1.4904
2.9057 -1.6456 4.8896
-1.1635 5.7368 0.8919
B Ni Tb
8 2 2
direct
0.5000 0.3723 0.3723
0.5000 0.9086 0.0914
0.5000 0.6218 0.9314
0.5000 0.6277 0.6277
0.5000 0.9314 0.6218
0.5000 0.0914 0.9086
0.5000 0.0686 0.3782
0.5000 0.3782 0.0686
0.0000 0.1764 0.1764
0.0000 0.8236 0.8236
0.0000 0.6996 0.3004
0.0000 0.3004 0.6996

***

Arrangement Q

TbNiB4, relaxed, DFT PBE; DOS at the Fermi energy = 6.38 states/eV per cell; symmetry = I4/mmm (139)
1.0
-1.3692 -0.3321 -6.6892
6.2528 -2.7327 0.4074
-4.6015 -3.3075 3.8233
B Tb Ni
16 4 4
direct
0.7245 0.1115 0.8360
0.1115 0.7245 0.8360
0.5813 0.1136 0.0000
0.2755 0.1115 0.3870
0.2755 0.8885 0.1640
0.1115 0.2755 0.3870
0.8864 0.8864 0.4677
0.5813 0.5813 0.4677
0.8885 0.7245 0.6130
0.4187 0.4187 0.5323
0.1136 0.5813 0.0000
0.1136 0.1136 0.5323
0.7245 0.8885 0.6130
0.8885 0.2755 0.1640
0.8864 0.4187 0.0000
0.4187 0.8864 0.0000
0.7964 0.7964 0.0000
0.7500 0.2500 0.5000
0.2500 0.7500 0.5000
0.2036 0.2036 0.0000
0.7290 0.5000 0.2290
0.5000 0.7290 0.2290
0.5000 0.2710 0.7710
0.2710 0.5000 0.7710

***

Verdict on stability: arrangement P comes out at the bottom.

***

Arrangement P

TcNi3B, relaxed, DFT PBE; DOS at the Fermi energy = 5.84 states/eV per cell; symmetry = Pm-3m (221)
1.0
4.4493 0.0000 0.0000
0.0000 4.4493 0.0000
0.0000 0.0000 4.4493
Ni Tc B
3 1 1
direct
0.0000 0.5000 0.0000
0.0000 0.0000 0.5000
0.5000 0.0000 0.0000
0.0000 0.0000 0.0000
0.5000 0.5000 0.5000

***

Arrangement Q

TcNi3B, relaxed, DFT PBE; DOS at the Fermi energy = 7.53 states/eV per cell; symmetry = Pm-3m (221)
1.0
3.8336 0.0000 0.0000
0.0000 3.8336 0.0000
0.0000 0.0000 3.8336
Ni Tc B
3 1 1
direct
0.0000 0.0000 0.5000
0.0000 0.5000 0.0000
0.5000 0.0000 0.0000
0.5000 0.5000 0.5000
0.0000 0.0000 0.0000

***

Verdict on stability: arrangement P comes out at the bottom.